# PBE with a Hubbard U BaCoRhO4, relaxed
data_BaCoRhO4
_chemical_formula_sum 'Ba2 Co2 Rh2 O8'
_symmetry_space_group_name_H-M 'P 1 21/m 1'
_symmetry_Int_Tables_number 11
_symmetry_space_group_name_Hall '-P 2yb'
_cell_length_a 5.394
_cell_length_b 5.878
_cell_length_c 7.219
_cell_angle_alpha 90.00
_cell_angle_beta 103.54
_cell_angle_gamma 90.00
loop_
_atom_site_label
_atom_site_fract_x
_atom_site_fract_y
_atom_site_fract_z
Ba1 0.230 0.250 0.406
Co1 0.273 0.750 0.157
Rh1 0.258 0.250 0.881
O1 0.018 0.250 0.040
O2 0.058 0.750 0.342
O3 0.467 0.032 0.762
# * magnetic moment: 4.0 μB per formula unit
# * E_tot: -6.0013 eV per atom



# PBE with a Hubbard U BaCoRu2O8, relaxed
data_BaCoRu2O8
_chemical_formula_sum 'Ba1 Co1 Ru2 O8'
_symmetry_space_group_name_H-M 'P -3'
_symmetry_Int_Tables_number 147
_symmetry_space_group_name_Hall '-P 3'
_cell_length_a 5.2049
_cell_length_b 5.2049
_cell_length_c 7.4736
_cell_angle_alpha 90.00
_cell_angle_beta 90.00
_cell_angle_gamma 120.00
loop_
_atom_site_label
_atom_site_fract_x
_atom_site_fract_y
_atom_site_fract_z
Ba1 0.0000 0.0000 0.0000
Co1 0.0000 0.0000 0.5000
Ru1 0.3333 0.6667 0.7018
O1 0.0184 0.2994 0.6579
O2 0.3333 0.6667 0.9438
# * magnetic moment: 3.1 μB per formula unit
# * E_tot: -6.5469 eV per atom



# PBE with a Hubbard U Ba3CoRu2O9, relaxed
data_Ba3CoRu2O9
_chemical_formula_sum 'Ba6 Co2 Ru4 O18'
_symmetry_space_group_name_H-M 'P 63/m m c'
_symmetry_Int_Tables_number 194
_symmetry_space_group_name_Hall '-P 6c 2c'
_cell_length_a 5.8186
_cell_length_b 5.8186
_cell_length_c 14.2793
_cell_angle_alpha 90.00
_cell_angle_beta 90.00
_cell_angle_gamma 120.00
loop_
_atom_site_label
_atom_site_fract_x
_atom_site_fract_y
_atom_site_fract_z
Ba1 0.0000 0.0000 0.2500
Ba2 0.3333 0.6667 0.0900
Co1 0.0000 0.0000 0.0000
Ru1 0.3333 0.6667 0.6528
O1 0.0318 0.5159 0.7500
O2 0.1691 0.3382 0.5813
# * magnetic moment: 8.3 μB per formula unit
# * polymorph energy (0 for the lowest one): 0 meV/atom



# PBE with a Hubbard U Ba3CoRu2O9, relaxed
data_Ba3CoRu2O9
_chemical_formula_sum 'Ba3 Co1 Ru2 O9'
_symmetry_space_group_name_H-M 'P -3 m 1'
_symmetry_Int_Tables_number 164
_symmetry_space_group_name_Hall '-P 3 2"'
_cell_length_a 5.7513
_cell_length_b 5.7513
_cell_length_c 7.0338
_cell_angle_alpha 90.00
_cell_angle_beta 90.00
_cell_angle_gamma 120.00
loop_
_atom_site_label
_atom_site_fract_x
_atom_site_fract_y
_atom_site_fract_z
Ba1 0.0000 0.0000 0.0000
Ba2 0.3333 0.6667 0.6664
Co1 0.0000 0.0000 0.5000
Ru1 0.3333 0.6667 0.1732
O1 0.0000 0.5000 0.0000
O2 0.1709 0.3418 0.3288
# * magnetic moment: 8.3 μB per formula unit
# * polymorph energy (0 for the lowest one): 28 meV/atom



# PBE with a Hubbard U BaCoRuO5, relaxed
data_BaCoRuO5
_chemical_formula_sum 'Ba4 Co4 Ru4 O20'
_symmetry_space_group_name_H-M 'C 1 2/c 1'
_symmetry_Int_Tables_number 15
_symmetry_space_group_name_Hall '-C 2yc'
_cell_length_a 6.877
_cell_length_b 9.547
_cell_length_c 7.430
_cell_angle_alpha 90.00
_cell_angle_beta 111.94
_cell_angle_gamma 90.00
loop_
_atom_site_label
_atom_site_fract_x
_atom_site_fract_y
_atom_site_fract_z
Ba1 0.000 0.166 0.250
Co1 0.000 0.187 0.750
Ru1 0.000 0.500 0.000
O1 0.000 0.443 0.250
O2 0.086 0.309 0.597
O3 0.201 0.068 0.917
# * magnetic moment: 1.3 μB per formula unit
# * E_tot: -6.5826 eV per atom



# PBE with a Hubbard U BaCoRuO6, relaxed
data_BaCoRuO6
_chemical_formula_sum 'Ba1 Co1 Ru1 O6'
_symmetry_space_group_name_H-M 'P 3 1 2'
_symmetry_Int_Tables_number 149
_symmetry_space_group_name_Hall 'P 3 2'
_cell_length_a 5.1324
_cell_length_b 5.1324
_cell_length_c 5.6850
_cell_angle_alpha 90.00
_cell_angle_beta 90.00
_cell_angle_gamma 120.00
loop_
_atom_site_label
_atom_site_fract_x
_atom_site_fract_y
_atom_site_fract_z
Ba1 0.0000 0.0000 0.0000
Co1 0.3333 0.6667 0.5000
Ru1 0.6667 0.3333 0.5000
O1 0.0046 0.4001 0.6879
# * magnetic moment: 1.0 μB per formula unit
# * E_tot: -6.4336 eV per atom



# PBE with a Hubbard U BaCoSbO5, relaxed
data_BaCoSbO5
_chemical_formula_sum 'Ba4 Co4 Sb4 O20'
_symmetry_space_group_name_H-M 'C 1 2/c 1'
_symmetry_Int_Tables_number 15
_symmetry_space_group_name_Hall '-C 2yc'
_cell_length_a 7.035
_cell_length_b 9.714
_cell_length_c 7.530
_cell_angle_alpha 90.00
_cell_angle_beta 112.39
_cell_angle_gamma 90.00
loop_
_atom_site_label
_atom_site_fract_x
_atom_site_fract_y
_atom_site_fract_z
Ba1 0.000 0.164 0.250
Co1 0.000 0.187 0.750
Sb1 0.000 0.500 0.000
O1 0.000 0.435 0.250
O2 0.088 0.308 0.597
O3 0.198 0.068 0.915
# * magnetic moment: 4.0 μB per formula unit
# * E_tot: -6.1779 eV per atom



# PBE with a Hubbard U Ba3ScCo2O6, relaxed
data_Ba3ScCo2O6
_chemical_formula_sum 'Ba3 Sc1 Co2 O6'
_symmetry_space_group_name_H-M 'P -3 m 1'
_symmetry_Int_Tables_number 164
_symmetry_space_group_name_Hall '-P 3 2"'
_cell_length_a 6.0317
_cell_length_b 6.0317
_cell_length_c 6.8744
_cell_angle_alpha 90.00
_cell_angle_beta 90.00
_cell_angle_gamma 120.00
loop_
_atom_site_label
_atom_site_fract_x
_atom_site_fract_y
_atom_site_fract_z
Ba1 0.0000 0.0000 0.0000
Ba2 0.3333 0.6667 0.6608
Sc1 0.0000 0.0000 0.5000
Co1 0.3333 0.6667 0.2283
O1 0.1623 0.3245 0.3119
# * magnetic moment: 5.0 μB per formula unit
# * E_tot: -6.4165 eV per atom



# PBE with a Hubbard U BaCoSe2O8, relaxed
data_BaCoSe2O8
_chemical_formula_sum 'Ba3 Co3 Se6 O24'
_symmetry_space_group_name_H-M 'R -3'
_symmetry_Int_Tables_number 148
_symmetry_space_group_name_Hall '-R 3'
_cell_length_a 5.1100
_cell_length_b 5.1100
_cell_length_c 23.1218
_cell_angle_alpha 90.00
_cell_angle_beta 90.00
_cell_angle_gamma 120.00
loop_
_atom_site_label
_atom_site_fract_x
_atom_site_fract_y
_atom_site_fract_z
Ba1 0.0000 0.0000 0.0000
Co1 0.0000 0.0000 0.5000
Se1 0.0000 0.0000 0.2403
O1 0.0000 0.0000 0.3132
O2 0.0101 0.6535 0.8875
# * magnetic moment: 3.0 μB per formula unit
# * E_tot: -5.6923 eV per atom



# PBE with a Hubbard U BaCoSe4O12, relaxed
data_BaCoSe4O12
_chemical_formula_sum 'Ba1 Co1 Se4 O12'
_symmetry_space_group_name_H-M 'P 4/m m m'
_symmetry_Int_Tables_number 123
_symmetry_space_group_name_Hall '-P 4 2'
_cell_length_a 5.498
_cell_length_b 5.498
_cell_length_c 7.580
_cell_angle_alpha 90.00
_cell_angle_beta 90.00
_cell_angle_gamma 90.00
loop_
_atom_site_label
_atom_site_fract_x
_atom_site_fract_y
_atom_site_fract_z
Ba1 0.000 0.000 0.000
Co1 0.500 0.500 0.500
Se1 0.000 0.500 0.260
O1 0.000 0.500 0.000
O2 0.000 0.500 0.500
O3 0.261 0.261 0.281
# * magnetic moment: 3.0 μB per formula unit
# * E_tot: -4.9213 eV per atom



# PBE with a Hubbard U Ba2CoSi2O7, relaxed
data_Ba2CoSi2O7
_chemical_formula_sum 'Ba8 Co4 Si8 O28'
_symmetry_space_group_name_H-M 'C 1 2/c 1'
_symmetry_Int_Tables_number 15
_symmetry_space_group_name_Hall '-C 2yc'
_cell_length_a 8.555
_cell_length_b 10.883
_cell_length_c 8.568
_cell_angle_alpha 90.00
_cell_angle_beta 111.15
_cell_angle_gamma 90.00
loop_
_atom_site_label
_atom_site_fract_x
_atom_site_fract_y
_atom_site_fract_z
Ba1 0.227 0.041 0.474
Co1 0.000 0.257 0.750
Si1 0.113 0.281 0.138
O1 0.000 0.334 0.250
O2 0.027 0.351 0.956
O3 0.109 0.132 0.133
O4 0.201 0.157 0.765
# * magnetic moment: 3.0 μB per formula unit
# * E_tot: -7.2110 eV per atom



# PBE with a Hubbard U Ba2CoSi2O7, relaxed
data_Ba2CoSi2O7
_chemical_formula_sum 'Ba4 Co2 Si4 O14'
_symmetry_space_group_name_H-M 'P -4 21 m'
_symmetry_Int_Tables_number 113
_symmetry_space_group_name_Hall 'P -4 2ab'
_cell_length_a 8.318
_cell_length_b 8.318
_cell_length_c 5.485
_cell_angle_alpha 90.00
_cell_angle_beta 90.00
_cell_angle_gamma 90.00
loop_
_atom_site_label
_atom_site_fract_x
_atom_site_fract_y
_atom_site_fract_z
Ba1 0.166 0.334 0.491
Co1 0.000 0.000 0.000
Si1 0.136 0.636 0.959
O1 0.000 0.500 0.861
O2 0.078 0.804 0.823
O3 0.139 0.639 0.254
# * magnetic moment: 3.0 μB per formula unit
# * E_tot: -7.2122 eV per atom



# PBE with a Hubbard U BaSmCo2O6, relaxed
data_BaSmCo2O6
_chemical_formula_sum 'Ba1 Sm1 Co2 O6'
_symmetry_space_group_name_H-M 'P 4/m m m'
_symmetry_Int_Tables_number 123
_symmetry_space_group_name_Hall '-P 4 2'
_cell_length_a 3.844
_cell_length_b 3.844
_cell_length_c 7.917
_cell_angle_alpha 90.00
_cell_angle_beta 90.00
_cell_angle_gamma 90.00
loop_
_atom_site_label
_atom_site_fract_x
_atom_site_fract_y
_atom_site_fract_z
Ba1 0.000 0.000 0.000
Sm1 0.000 0.000 0.500
Co1 0.500 0.500 0.253
O1 0.000 0.500 0.281
O2 0.500 0.500 0.000
O3 0.500 0.500 0.500
# * magnetic moment: 3.1 μB per formula unit
# * E_tot: -6.4897 eV per atom



# PBE with a Hubbard U BaCo2Sn2O7, relaxed
data_BaCo2Sn2O7
_chemical_formula_sum 'Ba2 Co4 Sn4 O14'
_symmetry_space_group_name_H-M 'C 1 2 1'
_symmetry_Int_Tables_number 5
_symmetry_space_group_name_Hall 'C 2y'
_cell_length_a 17.886
_cell_length_b 4.218
_cell_length_c 4.224
_cell_angle_alpha 90.00
_cell_angle_beta 103.64
_cell_angle_gamma 90.00
loop_
_atom_site_label
_atom_site_fract_x
_atom_site_fract_y
_atom_site_fract_z
Ba1 0.000 0.000 0.000
Co1 0.250 0.497 0.250
Sn1 0.118 0.500 0.617
O1 0.000 0.499 0.500
O2 0.122 0.500 0.122
O3 0.122 0.999 0.620
O4 0.236 0.496 0.739
# * magnetic moment: 6.0 μB per formula unit
# * E_tot: -6.1721 eV per atom



# PBE with a Hubbard U BaSrCoO3, relaxed
data_BaSrCoO3
_chemical_formula_sum 'Ba4 Sr4 Co4 O12'
_symmetry_space_group_name_H-M 'C 1 2/m 1'
_symmetry_Int_Tables_number 12
_symmetry_space_group_name_Hall '-C 2y'
_cell_length_a 13.468
_cell_length_b 4.127
_cell_length_c 7.435
_cell_angle_alpha 90.00
_cell_angle_beta 105.70
_cell_angle_gamma 90.00
loop_
_atom_site_label
_atom_site_fract_x
_atom_site_fract_y
_atom_site_fract_z
Ba1 0.145 0.000 0.075
Sr1 0.146 0.000 0.572
Co1 0.001 0.500 0.269
O1 0.001 0.000 0.271
O2 0.149 0.500 0.810
O3 0.153 0.500 0.337
# * magnetic moment: 3.0 μB per formula unit
# * E_tot: -5.9991 eV per atom



# PBE with a Hubbard U BaSr2CoO5, relaxed
data_BaSr2CoO5
_chemical_formula_sum 'Ba4 Sr8 Co4 O20'
_symmetry_space_group_name_H-M 'I 4/m c m'
_symmetry_Int_Tables_number 140
_symmetry_space_group_name_Hall '-I 4 2c'
_cell_length_a 7.064
_cell_length_b 7.064
_cell_length_c 11.422
_cell_angle_alpha 90.00
_cell_angle_beta 90.00
_cell_angle_gamma 90.00
loop_
_atom_site_label
_atom_site_fract_x
_atom_site_fract_y
_atom_site_fract_z
Ba1 0.000 0.000 0.250
Sr1 0.178 0.322 0.000
Co1 0.000 0.500 0.250
O1 0.000 0.000 0.000
O2 0.139 0.361 0.350
# * magnetic moment: 5.0 μB per formula unit
# * E_tot: -6.0800 eV per atom



# PBE with a Hubbard U BaSrCo4O12, relaxed
data_BaSrCo4O12
_chemical_formula_sum 'Ba1 Sr1 Co4 O12'
_symmetry_space_group_name_H-M 'P 4/m m m'
_symmetry_Int_Tables_number 123
_symmetry_space_group_name_Hall '-P 4 2'
_cell_length_a 5.443
_cell_length_b 5.443
_cell_length_c 7.646
_cell_angle_alpha 90.00
_cell_angle_beta 90.00
_cell_angle_gamma 90.00
loop_
_atom_site_label
_atom_site_fract_x
_atom_site_fract_y
_atom_site_fract_z
Ba1 0.000 0.000 0.000
Sr1 0.500 0.500 0.500
Co1 0.000 0.500 0.252
O1 0.000 0.500 0.000
O2 0.000 0.500 0.500
O3 0.254 0.254 0.256
# * magnetic moment: 18.4 μB per formula unit
# * E_tot: -5.4635 eV per atom



# PBE with a Hubbard U Ba2SrCo2O6, relaxed
data_Ba2SrCo2O6
_chemical_formula_sum 'Ba6 Sr3 Co6 O18'
_symmetry_space_group_name_H-M 'R -3 m'
_symmetry_Int_Tables_number 166
_symmetry_space_group_name_Hall '-R 3 2"'
_cell_length_a 6.1002
_cell_length_b 6.1002
_cell_length_c 18.9521
_cell_angle_alpha 90.00
_cell_angle_beta 90.00
_cell_angle_gamma 120.00
loop_
_atom_site_label
_atom_site_fract_x
_atom_site_fract_y
_atom_site_fract_z
Ba1 0.0000 0.0000 0.2050
Sr1 0.0000 0.0000 0.0000
Co1 0.0000 0.0000 0.4229
O1 0.0014 0.5007 0.7598
# * magnetic moment: 8.0 μB per formula unit
# * E_tot: -6.0506 eV per atom